(1)
# Tb3CeAu4

A relaxed structure of Tb3CeAu4 (GGA-PBE, Alexandria via LeMat-Bulk).

Calculated total energy ... -4.891 eV per atom
Spin magnetization ... 1.006 μB per cell
Density of states at the Fermi level ... 11.0 states/eV per cell
Formation energy from the elements ... -74.74 kJ/mol of atoms

a b c (Å): 5.1289 5.1289 8.9759
angles (deg): 73.40 73.40 60.00
Sites, in units of the cell vectors:
Au 0.8726 0.8726 0.3821
Au 0.3789 0.3789 0.8633
Au 0.1274 0.1274 0.6179
Au 0.6211 0.6211 0.1367
Tb 0.2499 0.2499 0.2504
Tb 0.7501 0.7501 0.7496
Tb 0.5000 0.5000 0.5000
Ce 0.0000 0.0000 0.0000

---

(2)
# TbCeAu2

A relaxed structure of TbCeAu2 (GGA-PBE, Alexandria via LeMat-Bulk).

Calculated total energy ... -5.005 eV per atom
Spin magnetization ... 1.128 μB per cell
Density of states at the Fermi level ... 7.5 states/eV per cell
Formation energy from the elements ... -69.95 kJ/mol of atoms

a b c (Å): 3.5985 3.5985 7.5374
angles (deg): 90.00 90.00 90.00
Sites, in units of the cell vectors:
Tb 0.5000 0.5000 0.0000
Au 0.0000 0.0000 0.7686
Au 0.0000 0.0000 0.2314
Ce 0.5000 0.5000 0.5000

---

Q: Number 1 is which compound?
A: Tb3CeAu4

---

Q: spin magnetization of number 2 (TbCeAu2)?
A: 1.128 μB per cell